(1)
## Li2EuGd (PBE)

Data for crystalline Li2EuGd at its relaxed geometry.

Lattice parameters (Å, degrees): 3.8494 3.8494 7.7940 90.00 90.00 90.00
Closest atoms and distances in Å follow each position.
Fractional coordinates of all 4 atoms:
Li1 0.0000 0.0000 0.2322  4 Gd 3.27, 4 Eu 3.43, 1 Li 3.62
Li2 0.0000 0.0000 0.7678  4 Gd 3.27, 4 Eu 3.43, 1 Li 3.62
Eu1 0.5000 0.5000 0.5000  8 Li 3.43
Gd1 0.5000 0.5000 0.0000  8 Li 3.27

Results
crystal system	tetragonal
calculated formation energy	47	kJ/mol of formula units
space group	No. 123
E above lowest polymorph	0.00	eV/f.u.

***

(2)
## AgMo2Au (PBE)

Data for crystalline AgMo2Au at its relaxed geometry.

Lattice parameters (Å, degrees): 3.8379 3.8379 4.4785 90.00 90.00 90.00
Closest atoms and distances in Å follow each position.
Fractional coordinates of all 4 atoms:
Ag1 0.0000 0.0000 0.0000  4 Au 2.71, 8 Mo 2.95
Mo1 0.0000 0.5000 0.5000  4 Mo 2.71, 4 Ag 2.95, 4 Au 2.95
Mo2 0.5000 0.0000 0.5000  4 Mo 2.71, 4 Ag 2.95, 4 Au 2.95
Au1 0.5000 0.5000 0.0000  4 Ag 2.71, 8 Mo 2.95

Results
crystal system	tetragonal
calculated formation energy	148	kJ/mol of formula units
space group	No. 123
E above lowest polymorph	0.72	eV/f.u.

***

(3)
## RbLiSiS3 (PBE)

Data for crystalline RbLiSiS3 at its relaxed geometry.

Lattice parameters (Å, degrees): 6.6405 6.6405 8.4546 97.73 97.73 90.24
Closest atoms and distances in Å follow each position.
Fractional coordinates of all 12 atoms:
Rb1 0.2010 0.2010 0.1582  7 S 3.39-3.72
Rb2 0.7990 0.7990 0.8418  7 S 3.39-3.72
Li1 0.2969 0.7031 0.5000  4 S 2.48-2.53
Li2 0.7031 0.2969 0.5000  4 S 2.48-2.53
Si1 0.1807 0.1807 0.6912  3 S 2.04-2.05
Si2 0.8193 0.8193 0.3088  3 S 2.04-2.05
S1 0.0870 0.7171 0.2359  1 Si 2.05
S2 0.2829 0.9130 0.7641  1 Si 2.05
S3 0.3415 0.3415 0.5583  1 Si 2.04
S4 0.6585 0.6585 0.4417  1 Si 2.04
S5 0.7171 0.0870 0.2359  1 Si 2.05
S6 0.9130 0.2829 0.7641  1 Si 2.05

Results
raw formation energy	-0.988	eV per atom
crystal system	monoclinic
space group	No. 12

***

(4)
## Y2AlNi (PBE)

Data for crystalline Y2AlNi at its relaxed geometry.

Lattice parameters (Å, degrees): 6.4237 6.4237 6.4237 39.15 39.15 39.15
Closest atoms and distances in Å follow each position.
Fractional coordinates of all 4 atoms:
Y1 0.0000 0.0000 0.0000  3 Al 2.94, 3 Ni 3.05
Y2 0.1866 0.1866 0.1866  3 Ni 2.92, 3 Al 3.03
Al1 0.4222 0.4222 0.4222  3 Ni 2.49
Ni1 0.7666 0.7666 0.7666  3 Al 2.49

Results
crystal system	trigonal
calculated formation energy	-122	kJ/mol of formula units
space group	No. 160

***

(5)
## Sn3Te2Se2 (PBE)

Data for crystalline Sn3Te2Se2 at its relaxed geometry.

Lattice parameters (Å, degrees): 8.2510 8.2510 7.2796 111.82 111.82 29.29
Closest atoms and distances in Å follow each position.
Fractional coordinates of all 7 atoms:
Sn1 0.0000 0.0000 0.0000  2 Se 2.93, 4 Te 3.09
Sn2 0.2544 0.2544 0.2338  3 Se 2.83-2.84
Sn3 0.7456 0.7456 0.7662  3 Se 2.83-2.84
Te1 0.3821 0.3821 0.6982  5 Sn 3.09-3.21
Te2 0.6179 0.6179 0.3018  5 Sn 3.09-3.21
Se1 0.1378 0.1378 0.8267  4 Sn 2.83-2.93
Se2 0.8622 0.8622 0.1733  4 Sn 2.83-2.93

Results
raw formation energy	-0.296	eV per atom
crystal system	monoclinic
space group	No. 12
E above lowest polymorph	0.00	eV/f.u.

***

(6)
## ZrHgS2 (PBE)

Data for crystalline ZrHgS2 at its relaxed geometry.

Lattice parameters (Å, degrees): 7.9049 7.9049 19.1752 95.58 95.58 90.00
Closest atoms and distances in Å follow each position.
Fractional coordinates of all 32 atoms:
Zr1 0.0836 0.7039 0.8245  4 S 2.42-2.43
Zr2 0.2961 0.4217 0.6754  4 S 2.42-2.43
Zr3 0.2961 0.9164 0.6755  4 S 2.42-2.43
Zr4 0.4217 0.2961 0.1754  4 S 2.42-2.43
Zr5 0.5783 0.7039 0.8246  4 S 2.42-2.43
Zr6 0.7039 0.0836 0.3245  4 S 2.42-2.43
Zr7 0.7039 0.5783 0.3246  4 S 2.42-2.43
Zr8 0.9164 0.2961 0.1755  4 S 2.42-2.43
Hg1 0.1486 0.7753 0.0877  2 Hg 3.95, 8 S 3.96-4.17
Hg2 0.2252 0.3518 0.4133  2 Hg 3.95, 8 S 3.96-4.18
Hg3 0.2247 0.8514 0.4123  2 Hg 3.95, 8 S 3.96-4.17
Hg4 0.3518 0.2252 0.9133  2 Hg 3.95, 8 S 3.96-4.18
Hg5 0.6482 0.7748 0.0867  2 Hg 3.95, 8 S 3.96-4.18
Hg6 0.7753 0.1486 0.5877  2 Hg 3.95, 8 S 3.96-4.17
Hg7 0.7748 0.6482 0.5867  2 Hg 3.95, 8 S 3.96-4.18
Hg8 0.8514 0.2247 0.9123  2 Hg 3.95, 8 S 3.96-4.17
S1 0.0646 0.4373 0.7499  2 Zr 2.42
S2 0.0645 0.9355 0.7500  2 Zr 2.42
S3 0.1517 0.2791 0.1023  2 Zr 2.43
S4 0.2782 0.6512 0.5993  2 Zr 2.43
S5 0.2791 0.1517 0.6023  2 Zr 2.43
S6 0.3488 0.7218 0.9007  2 Zr 2.43
S7 0.4373 0.0646 0.2499  2 Zr 2.42
S8 0.4373 0.5627 0.2500  2 Zr 2.42
S9 0.5627 0.4373 0.7500  2 Zr 2.42
S10 0.5627 0.9354 0.7501  2 Zr 2.42
S11 0.6512 0.2782 0.0993  2 Zr 2.43
S12 0.7209 0.8483 0.3977  2 Zr 2.43
S13 0.7218 0.3488 0.4007  2 Zr 2.43
S14 0.8483 0.7209 0.8977  2 Zr 2.43
S15 0.9355 0.0645 0.2500  2 Zr 2.42
S16 0.9354 0.5627 0.2501  2 Zr 2.42

Results
raw formation energy	-0.888	eV per atom
crystal system	monoclinic
space group	No. 15

***

(7)
## Pr7Nd (PBE)

Data for crystalline Pr7Nd at its relaxed geometry.

Lattice parameters (Å, degrees): 7.4241 7.4241 7.4241 60.00 60.00 60.00
Closest atoms and distances in Å follow each position.
Fractional coordinates of all 8 atoms:
Pr1 0.0000 0.0000 0.0000  12 Pr 3.71
Pr2 0.0000 0.0000 0.5000  10 Pr 3.71, 2 Nd 3.71
Pr3 0.0000 0.5000 0.0000  10 Pr 3.71, 2 Nd 3.71
Pr4 0.0000 0.5000 0.5000  10 Pr 3.71, 2 Nd 3.71
Pr5 0.5000 0.0000 0.0000  10 Pr 3.71, 2 Nd 3.71
Pr6 0.5000 0.0000 0.5000  10 Pr 3.71, 2 Nd 3.71
Pr7 0.5000 0.5000 0.0000  10 Pr 3.71, 2 Nd 3.71
Nd1 0.5000 0.5000 0.5000  12 Pr 3.71

Results
crystal system	cubic
calculated formation energy	5	kJ/mol of formula units
space group	No. 225

***

(8)
## LiPmDyMg (PBE)

Data for crystalline LiPmDyMg at its relaxed geometry.

Lattice parameters (Å, degrees): 5.3725 5.3725 5.3725 60.00 60.00 60.00
Closest atoms and distances in Å follow each position.
Fractional coordinates of all 4 atoms:
Li1 0.0000 0.0000 0.0000  4 Dy 3.29, 4 Pm 3.29
Pm1 0.2500 0.2500 0.2500  4 Li 3.29, 4 Mg 3.29
Dy1 0.7500 0.7500 0.7500  4 Mg 3.29, 4 Li 3.29
Mg1 0.5000 0.5000 0.5000  4 Dy 3.29, 4 Pm 3.29

Results
crystal system	cubic
calculated formation energy	12	kJ/mol of formula units
space group	No. 216

***

(9)
## BeInPdBr2 (PBE)

Data for crystalline BeInPdBr2 at its relaxed geometry.

Lattice parameters (Å, degrees): 5.4129 5.4129 5.2285 90.00 90.00 90.00
Closest atoms and distances in Å follow each position.
Fractional coordinates of all 5 atoms:
Be1 0.0000 0.0000 0.0000  8 Br 3.76, 4 Pd 3.83
In1 0.5000 0.5000 0.5000  2 Pd 2.61, 4 Br 2.71
Pd1 0.5000 0.5000 0.0000  2 In 2.61
Br1 0.0000 0.5000 0.5000  2 In 2.71
Br2 0.5000 0.0000 0.5000  2 In 2.71

Results
raw formation energy	0.723	eV per atom
crystal system	tetragonal
space group	No. 123

***

(10)
## SbPW (PBE)

Data for crystalline SbPW at its relaxed geometry.

Lattice parameters (Å, degrees): 7.5994 7.4077 2.9857 82.16 74.94 22.91
Closest atoms and distances in Å follow each position.
Fractional coordinates of all 3 atoms:
Sb1 0.0000 0.0000 0.0000  2 W 2.92, 4 Sb 2.99
P1 0.7212 0.7212 0.2788  2 W 2.41
W1 0.3371 0.3371 0.6629  2 P 2.41

Results
raw formation energy	0.406	eV per atom
crystal system	orthorhombic
space group	No. 42
E above lowest polymorph	0.90	eV/f.u.

***

(11)
## Sr2InBiS5 (PBE)

Data for crystalline Sr2InBiS5 at its relaxed geometry.

Lattice parameters (Å, degrees): 9.2459 9.2459 12.5695 90.00 90.00 154.41
Closest atoms and distances in Å follow each position.
Fractional coordinates of all 18 atoms:
Sr1 0.1104 0.8896 0.5000  8 S 3.08-3.36
Sr2 0.1285 0.8715 0.1308  6 S 3.06-3.14
Sr3 0.8715 0.1285 0.6308  6 S 3.06-3.14
Sr4 0.8896 0.1104 0.0000  8 S 3.08-3.36
In1 0.4468 0.5532 0.2635  4 S 2.43-2.57
In2 0.5532 0.4468 0.7635  4 S 2.43-2.57
Bi1 0.2169 0.7831 0.8428  5 S 2.64-2.92
Bi2 0.7831 0.2169 0.3428  5 S 2.64-2.92
S1 0.0454 0.9546 0.8778  2 In 2.51
S2 0.2810 0.7190 0.4942  2 Bi 2.79, 1 Sr 3.08
S3 0.3157 0.6843 0.1838  1 In 2.57
S4 0.3625 0.6375 0.8195  1 Bi 2.64
S5 0.4939 0.5061 0.5897  1 In 2.43
S6 0.5061 0.4939 0.0897  1 In 2.43
S7 0.6375 0.3625 0.3195  1 Bi 2.64
S8 0.6843 0.3157 0.6838  1 In 2.57
S9 0.7190 0.2810 0.9942  2 Bi 2.79, 1 Sr 3.08
S10 0.9546 0.0454 0.3778  2 In 2.51

Results
raw formation energy	-1.222	eV per atom
crystal system	orthorhombic
space group	No. 36

***

(12)
## NbPt2Se6 (PBE)

Data for crystalline NbPt2Se6 at its relaxed geometry.

Lattice parameters (Å, degrees): 7.5084 7.5084 8.5529 106.57 106.57 28.59
Closest atoms and distances in Å follow each position.
Fractional coordinates of all 9 atoms:
Nb1 0.0000 0.0000 0.0000  6 Se 2.63-2.65
Pt1 0.3342 0.3342 0.6705  6 Se 2.51-2.59
Pt2 0.6658 0.6658 0.3295  6 Se 2.51-2.59
Se1 0.1572 0.1572 0.5250  3 Pt 2.51-2.52
Se2 0.1869 0.1869 0.1374  2 Pt 2.55, 1 Nb 2.63
Se3 0.4804 0.4804 0.2084  1 Pt 2.59, 2 Nb 2.65
Se4 0.5196 0.5196 0.7916  1 Pt 2.59, 2 Nb 2.65
Se5 0.8131 0.8131 0.8626  2 Pt 2.55, 1 Nb 2.63
Se6 0.8428 0.8428 0.4750  3 Pt 2.51-2.52

Results
raw formation energy	-0.449	eV per atom
crystal system	monoclinic
space group	No. 12

***

Density for every record listed, in sequence, given in g/cm3: 4.65, 12.50, 1.97, 4.60, 5.71, 3.98, 6.49, 5.13, 4.23, 9.20, 4.72, 7.20.